Entry 1:
{
  "formula": "Cs3V5I12",
  "functional": "PBE",
  "state": "optimized geometry",
  "lattice": [[-12.4579, -4.6810, 9.4508], [4.6638, -12.4797, -9.4305], [12.4968, 4.6856, 9.3969]],
  "species": ["I", "I", "I", "I", "I", "I", "I", "I", "I", "I", "I", "I", "I", "I", "I", "I", "I", "I", "I", "I", "I", "I", "I", "I", "I", "I", "I", "I", "I", "I", "I", "I", "I", "I", "I", "I", "I", "I", "I", "I", "I", "I", "I", "I", "I", "I", "I", "I", "V", "V", "V", "V", "V", "V", "V", "V", "V", "V", "V", "V", "V", "V", "V", "V", "V", "V", "V", "V", "Cs", "Cs", "Cs", "Cs", "Cs", "Cs", "Cs", "Cs", "Cs", "Cs", "Cs", "Cs"],
  "fractional_positions": [[0.5080, 0.3190, 0.9061], [0.6019, 0.5939, 0.9129], [0.3109, 0.4129, 0.8190], [0.8190, 0.9061, 0.0080], [0.1891, 0.5080, 0.6019], [0.3190, 0.8109, 0.4129], [0.0871, 0.1810, 0.1891], [0.4061, 0.0080, 0.3190], [0.1810, 0.0939, 0.9920], [0.8190, 0.9129, 0.3109], [0.8981, 0.5871, 0.9061], [0.9129, 0.8190, 0.8109], [0.3190, 0.5080, 0.4061], [0.0080, 0.4061, 0.8190], [0.0080, 0.6019, 0.6891], [0.9920, 0.5939, 0.1810], [0.5080, 0.1891, 0.1019], [0.1810, 0.0871, 0.6891], [0.8109, 0.3190, 0.9129], [0.9061, 0.0871, 0.8981], [0.9920, 0.3981, 0.3109], [0.4920, 0.8109, 0.8981], [0.5871, 0.8981, 0.4061], [0.0939, 0.9129, 0.1019], [0.8109, 0.4920, 0.3981], [0.1019, 0.4129, 0.0939], [0.4129, 0.1019, 0.5939], [0.6019, 0.0080, 0.1891], [0.4061, 0.3981, 0.5871], [0.1019, 0.6891, 0.5080], [0.6891, 0.5871, 0.1810], [0.9061, 0.8190, 0.5080], [0.4920, 0.6810, 0.0939], [0.3981, 0.9920, 0.8109], [0.1891, 0.6810, 0.0871], [0.5939, 0.9920, 0.6810], [0.6810, 0.4920, 0.5939], [0.0939, 0.1810, 0.4920], [0.6891, 0.1019, 0.0080], [0.0871, 0.9061, 0.3981], [0.5871, 0.6891, 0.6810], [0.9129, 0.0939, 0.6019], [0.3109, 0.8981, 0.9920], [0.6810, 0.1891, 0.5871], [0.4129, 0.3109, 0.3190], [0.3981, 0.4061, 0.0871], [0.5939, 0.6019, 0.4129], [0.8981, 0.3109, 0.4920], [0.7500, 0.1250, 0.8750], [0.0000, 0.0000, 0.5000], [0.6250, 0.7500, 0.8750], [0.2500, 0.8750, 0.1250], [0.1250, 0.3750, 0.2500], [0.3750, 0.2500, 0.1250], [0.0000, 0.5000, 0.0000], [0.6250, 0.8750, 0.2500], [0.1250, 0.7500, 0.3750], [0.8750, 0.2500, 0.6250], [0.3750, 0.1250, 0.7500], [0.5000, 0.5000, 0.5000], [0.5000, 0.5000, 0.0000], [0.0000, 0.5000, 0.5000], [0.0000, 0.0000, 0.0000], [0.8750, 0.6250, 0.7500], [0.5000, 0.0000, 0.5000], [0.2500, 0.3750, 0.6250], [0.5000, 0.0000, 0.0000], [0.7500, 0.6250, 0.3750], [0.1250, 0.8750, 0.7500], [0.7500, 0.8750, 0.6250], [0.7500, 0.3750, 0.1250], [0.3750, 0.6250, 0.2500], [0.3750, 0.7500, 0.6250], [0.8750, 0.7500, 0.1250], [0.6250, 0.3750, 0.7500], [0.6250, 0.2500, 0.3750], [0.2500, 0.1250, 0.3750], [0.2500, 0.6250, 0.8750], [0.1250, 0.2500, 0.8750], [0.8750, 0.1250, 0.2500]],
  "n_ef_per_ev_cell": 79.347,
  "energy_ev_per_cell": -311.6,
  "raw_formation_energy_kcal_per_mol_atoms": -12.849
}

---

Entry 2:
{
  "formula": "CsVI5",
  "functional": "PBE",
  "state": "optimized geometry",
  "lattice": [[7.8495, 0.0018, 3.5090], [3.0692, 6.6234, 3.6821], [1.1007, -0.4460, 8.0893]],
  "species": ["V", "I", "I", "I", "I", "I", "Cs"],
  "fractional_positions": [[0.6157, 0.4998, 0.4998], [0.8799, 0.2531, 0.2531], [0.4495, 0.7510, 0.2482], [0.9217, 0.5002, 0.5002], [0.4495, 0.2482, 0.7510], [0.3843, 0.7467, 0.7467], [0.8301, 0.0010, 0.0010]],
  "n_ef_per_ev_cell": 5.948,
  "energy_ev_per_cell": -22.2,
  "raw_formation_energy_kcal_per_mol_atoms": -14.851
}